(1)
GeS2ClO | Alexandria | PBE-GGA | optimized geometry; crystal system = tetragonal; symmetry = P4/mmm, No. 123
1.0
-2.169 -3.938 -1.438
4.181 -2.150 -0.419
-0.322 -1.543 4.712
Ge S O Cl
1 2 1 1
direct
0.000 0.000 0.000
0.000 0.500 0.000
0.500 0.000 0.000
0.500 0.500 0.500
0.000 0.000 0.500

(2)
Sn2GeCl2O2 | Alexandria | PBE-GGA | optimized geometry; crystal system = monoclinic; symmetry = C2/m, No. 12
1.0
-2.919 1.985 -1.172
-2.397 -5.891 1.896
0.000 3.783 6.405
Sn Ge Cl O
2 1 2 2
direct
0.713 0.426 0.297
0.287 0.574 0.703
0.000 0.000 0.500
0.569 0.138 0.763
0.431 0.862 0.237
0.830 0.661 0.560
0.170 0.339 0.440

(3)
Sr2GeCl2O2 | Alexandria | PBE-GGA | optimized geometry; crystal system = monoclinic; symmetry = C2/m, No. 12
1.0
4.069 0.000 0.000
-2.035 6.057 -0.153
0.000 -1.553 6.922
Sr Ge Cl O
2 1 2 2
direct
0.701 0.402 0.272
0.299 0.598 0.728
0.000 0.000 0.500
0.624 0.247 0.836
0.376 0.753 0.164
0.854 0.708 0.582
0.146 0.292 0.418

(4)
Sr2GeClO4 | Alexandria | PBE-GGA | optimized geometry; crystal system = monoclinic; symmetry = C2/m, No. 12
1.0
-0.092 1.991 -2.791
0.227 -2.599 -3.968
-8.985 -0.297 -2.023
Sr Ge Cl O
2 1 1 4
direct
0.835 0.568 0.762
0.165 0.432 0.238
0.000 0.000 0.000
0.500 0.500 0.500
0.118 0.958 0.806
0.380 0.285 0.955
0.882 0.042 0.194
0.620 0.715 0.045

(5)
SrGeClO2 | Alexandria | PBE-GGA | optimized geometry; crystal system = orthorhombic; symmetry = Cmcm, No. 63
1.0
-3.998 -2.058 2.925
-1.485 -3.217 -4.294
4.572 -2.906 4.205
Sr Ge Cl O
2 2 2 4
direct
0.250 0.626 0.253
0.750 0.374 0.747
0.250 0.951 0.902
0.750 0.049 0.098
0.750 0.751 0.502
0.250 0.249 0.498
0.500 0.220 0.000
0.000 0.780 0.000
0.500 0.780 0.000
0.000 0.220 0.000

(6)
TcGe2ClO | Alexandria | PBE-GGA | optimized geometry; crystal system = tetragonal; symmetry = P4/mmm, No. 123
1.0
4.988 0.000 0.000
0.000 3.808 0.000
0.000 0.000 4.988
Ge Tc O Cl
2 1 1 1
direct
0.000 0.000 0.500
0.500 0.000 0.000
0.000 0.000 0.000
0.000 0.500 0.000
0.500 0.500 0.500

(7)
UGeClO4 | Alexandria | PBE-GGA | optimized geometry; crystal system = monoclinic; symmetry = C2/m, No. 12
1.0
6.100 0.075 0.036
2.091 5.730 0.036
1.700 1.205 6.644
U Ge Cl O
2 2 2 8
direct
0.239 0.239 0.846
0.761 0.761 0.154
0.639 0.639 0.729
0.361 0.361 0.271
0.015 0.015 0.222
0.985 0.985 0.778
0.290 0.290 0.535
0.710 0.710 0.465
0.100 0.491 0.159
0.544 0.544 0.204
0.509 0.900 0.841
0.491 0.100 0.159
0.456 0.456 0.796
0.900 0.509 0.841

(8)
ZrGeClO4 | Alexandria | PBE-GGA | optimized geometry; crystal system = monoclinic; symmetry = C2/m, No. 12
1.0
6.306 0.573 -0.227
2.629 5.760 -0.227
1.585 1.123 6.357
Zr Ge Cl O
2 2 2 8
direct
0.293 0.293 0.853
0.707 0.707 0.147
0.646 0.646 0.711
0.354 0.354 0.289
0.022 0.022 0.136
0.978 0.978 0.864
0.282 0.282 0.551
0.718 0.718 0.449
0.100 0.497 0.139
0.520 0.520 0.235
0.503 0.900 0.861
0.497 0.100 0.139
0.480 0.480 0.765
0.900 0.503 0.861

(9)
GeOs3Cl | Alexandria | PBE-GGA | optimized geometry; crystal system = cubic; symmetry = Pm-3m, No. 221
1.0
-1.833 -4.267 0.239
4.274 -1.834 0.031
0.065 0.232 4.644
Ge Os Cl
1 3 1
direct
0.000 0.000 0.000
0.000 0.500 0.000
0.000 0.000 0.500
0.500 0.000 0.000
0.500 0.500 0.500

(10)
Ge2Os2Cl | Alexandria | PBE-GGA | optimized geometry; crystal system = tetragonal; symmetry = I4/mmm, No. 139
1.0
-1.123 3.280 -2.303
0.285 -2.320 -3.443
-5.515 -0.905 -2.362
Ge Os Cl
2 2 1
direct
0.750 0.250 0.500
0.250 0.750 0.500
0.380 0.380 0.241
0.620 0.620 0.759
0.000 0.000 0.000

(11)
GeOs2Cl | Alexandria | PBE-GGA | optimized geometry; crystal system = cubic; symmetry = Fm-3m, No. 225
1.0
-4.052 -0.862 1.349
-3.075 3.078 -0.236
-3.230 -0.366 -2.901
Ge Os Cl
1 2 1
direct
0.500 0.500 0.500
0.250 0.250 0.250
0.750 0.750 0.750
0.000 0.000 0.000

(12)
Ge2Os2Cl | Alexandria | PBE-GGA | optimized geometry; crystal system = tetragonal; symmetry = P4/mbm, No. 127
1.0
7.285 0.000 0.000
0.000 7.285 0.000
0.000 0.000 2.984
Ge Os Cl
4 4 2
direct
0.145 0.645 0.500
0.645 0.855 0.500
0.855 0.355 0.500
0.355 0.145 0.500
0.352 0.852 0.000
0.852 0.648 0.000
0.648 0.148 0.000
0.148 0.352 0.000
0.000 0.000 0.000
0.500 0.500 0.000

(13)
GeOs3Cl | Alexandria | PBE-GGA | optimized geometry; crystal system = cubic; symmetry = Pm-3m, No. 221
1.0
4.401 0.000 0.000
0.000 4.401 0.000
0.000 0.000 4.401
Ge Os Cl
1 3 1
direct
0.500 0.500 0.500
0.000 0.500 0.000
0.000 0.000 0.500
0.500 0.000 0.000
0.000 0.000 0.000

(14)
GeOsCl2 | Alexandria | PBE-GGA | optimized geometry; crystal system = tetragonal; symmetry = I-42d, No. 122
1.0
5.896 0.000 0.000
0.000 5.896 0.000
2.948 2.948 5.563
Ge Os Cl
2 2 4
direct
0.500 0.500 0.000
0.250 0.750 0.500
0.000 0.000 0.000
0.750 0.250 0.500
0.690 0.125 0.250
0.060 0.625 0.250
0.375 0.310 0.750
0.875 0.940 0.750

(15)
GeOsCl2 | Alexandria | PBE-GGA | optimized geometry; crystal system = cubic; symmetry = Fm-3m, No. 225
1.0
3.992 -1.327 2.027
0.657 -4.477 1.154
3.073 -2.595 -2.372
Ge Os Cl
1 1 2
direct
0.000 0.000 0.000
0.500 0.500 0.500
0.250 0.250 0.250
0.750 0.750 0.750

(16)
GeOsCl2 | Alexandria | PBE-GGA | optimized geometry; crystal system = trigonal; symmetry = R-3m, No. 166
1.0
2.023 0.000 9.778
-1.012 1.752 9.778
-1.012 -1.752 9.778
Ge Os Cl
1 1 2
direct
0.000 0.000 0.000
0.500 0.500 0.500
0.876 0.876 0.876
0.124 0.124 0.124

(17)
GeOs2Cl | Alexandria | PBE-GGA | optimized geometry; crystal system = tetragonal; symmetry = I-42d, No. 122
1.0
-5.218 0.284 -1.302
0.583 -4.247 -3.260
-3.523 -5.299 1.826
Ge Os Cl
2 4 2
direct
0.000 0.000 0.000
0.750 0.250 0.500
0.598 0.125 0.250
0.152 0.625 0.250
0.375 0.402 0.750
0.875 0.848 0.750
0.500 0.500 0.000
0.250 0.750 0.500

(18)
GeOs2PdCl | Alexandria | PBE-GGA | optimized geometry; crystal system = tetragonal; symmetry = P4/mmm, No. 123
1.0
4.322 0.000 0.000
0.000 4.845 0.000
0.000 0.000 4.322
Ge Os Pd Cl
1 2 1 1
direct
0.000 0.500 0.000
0.000 0.000 0.500
0.500 0.000 0.000
0.500 0.500 0.500
0.000 0.000 0.000

(19)
Pr8GeOs3Cl4 | Alexandria | PBE-GGA | optimized geometry; crystal system = trigonal; symmetry = R-3m, No. 166
1.0
-5.256 0.060 -6.550
-5.861 -4.883 4.658
2.636 7.241 3.335
Pr Ge Os Cl
8 1 3 4
direct
0.242 0.704 0.963
0.242 0.704 0.483
0.262 0.285 0.523
0.721 0.704 0.963
0.279 0.296 0.037
0.738 0.715 0.477
0.758 0.296 0.517
0.758 0.296 0.037
0.000 0.500 0.000
0.500 0.500 0.000
0.500 0.500 0.500
0.000 0.500 0.500
0.500 0.000 0.000
0.500 0.000 0.500
0.000 0.000 0.000
0.000 0.000 0.500

(20)
Ge2OsRuCl | Alexandria | PBE-GGA | optimized geometry; crystal system = tetragonal; symmetry = P4/mmm, No. 123
1.0
4.778 0.000 0.000
0.000 5.175 0.000
0.000 0.000 4.778
Ru Ge Os Cl
1 2 1 1
direct
0.500 0.500 0.500
0.000 0.000 0.500
0.500 0.000 0.000
0.000 0.000 0.000
0.000 0.500 0.000

(21)
GeOsS2Cl | Alexandria | PBE-GGA | optimized geometry; crystal system = tetragonal; symmetry = P4/mmm, No. 123
1.0
-0.337 2.139 -4.071
-4.492 0.724 0.752
1.041 4.238 2.140
Ge Os S Cl
1 1 2 1
direct
0.500 0.500 0.500
0.000 0.000 0.000
0.000 0.500 0.000
0.500 0.000 0.000
0.000 0.000 0.500

(22)
GeOsSCl2 | Alexandria | PBE-GGA | optimized geometry; crystal system = tetragonal; symmetry = P4/mmm, No. 123
1.0
-1.105 4.754 0.419
-2.537 -0.950 4.081
3.697 0.644 2.448
Ge Os S Cl
1 1 1 2
direct
0.500 0.500 0.500
0.000 0.000 0.000
0.000 0.000 0.500
0.000 0.500 0.000
0.500 0.000 0.000

(23)
GeOsSCl2 | Alexandria | PBE-GGA | optimized geometry; crystal system = tetragonal; symmetry = P4/mmm, No. 123
1.0
4.863 0.000 0.000
0.000 4.863 0.000
0.000 0.000 4.954
Ge Os S Cl
1 1 1 2
direct
0.000 0.000 0.000
0.500 0.500 0.500
0.000 0.000 0.500
0.000 0.500 0.000
0.500 0.000 0.000

(24)
GeOsS2Cl | Alexandria | PBE-GGA | optimized geometry; crystal system = tetragonal; symmetry = P4/mmm, No. 123
1.0
4.755 0.000 0.000
0.000 4.755 0.000
0.000 0.000 4.706
Ge Os S Cl
1 1 2 1
direct
0.000 0.000 0.000
0.500 0.500 0.500
0.000 0.500 0.000
0.500 0.000 0.000
0.000 0.000 0.500

(25)
SrGeOsCl2 | Alexandria | PBE-GGA | optimized geometry; crystal system = tetragonal; symmetry = P4/mmm, No. 123
1.0
-2.249 -1.794 3.688
1.673 -5.855 -1.828
3.912 0.324 2.543
Sr Ge Os Cl
1 1 1 2
direct
0.000 0.500 0.000
0.500 0.500 0.500
0.000 0.000 0.000
0.000 0.000 0.500
0.500 0.000 0.000

(26)
TaGe2OsCl | Alexandria | PBE-GGA | optimized geometry; crystal system = tetragonal; symmetry = P4/mmm, No. 123
1.0
5.118 0.000 0.000
0.000 4.829 0.000
0.000 0.000 5.118
Ge Cl Os Ta
2 1 1 1
direct
0.000 0.000 0.500
0.500 0.000 0.000
0.500 0.500 0.500
0.000 0.500 0.000
0.000 0.000 0.000

E_form (uncorrected) for the records above, in order: 4.1 -7.3 -14.2 -15.8 -9.9 -1.7 -15.6 -14.0 11.2 3.0 4.1 1.8 10.2 4.2 4.3 2.4 4.9 8.4 -13.8 5.9 2.3 2.1 5.5 6.2 2.0 5.6 eV per formula unit